(1)
The following is a DFT calculation (PBE-GGA) of crystalline ScRh2SeS at its relaxed geometry.

Output
Symmetry ... P4/mmm
Formation energy from raw total energies ... 615 meV per atom

Cell lengths 4.758, 4.692, 4.758 Å; angles 90.00, 90.00, 90.00 degrees
Element x y z (fractional)
1 Se 0.500 0.500 0.500
2 Rh 0.000 0.000 0.500
3 Rh 0.500 0.000 0.000
4 Sc 0.000 0.000 0.000
5 S 0.000 0.500 0.000


(2)
The following is a DFT calculation (PBE-GGA) of crystalline TaNb5Te12 at its relaxed geometry.

Output
Symmetry ... C2/m
Formation energy from raw total energies ... -416 meV per atom

Cell lengths 6.366, 6.374, 14.824 Å; angles 90.01, 90.02, 60.04 degrees
Element x y z (fractional)
1 Te 0.500 0.667 0.375
2 Te 0.668 0.332 0.124
3 Te 0.833 0.667 0.625
4 Te 0.167 0.333 0.375
5 Te 0.000 0.332 0.875
6 Te 0.332 0.000 0.125
7 Te 0.833 0.000 0.375
8 Te 0.500 0.333 0.625
9 Te 0.332 0.668 0.876
10 Te 0.167 0.000 0.625
11 Te 0.668 0.000 0.875
12 Te 0.000 0.668 0.125
13 Nb 0.833 0.334 0.500
14 Nb 0.667 0.667 0.000
15 Nb 0.500 0.000 0.500
16 Nb 0.333 0.333 0.000
17 Nb 0.167 0.666 0.500
18 Ta 0.000 0.000 0.000


(3)
The following is a DFT calculation (PBE-GGA) of crystalline LaSn4 at its relaxed geometry.

Output
Symmetry ... Imma
Energy relative to the elements ... -39.96 kJ per mole of atoms
Relative energy among the computed polymorphs ... 0 meV/atom

Cell lengths 4.722, 6.680, 9.847 Å; angles 109.83, 103.87, 90.00 degrees
Element x y z (fractional)
1 Sn 0.500 0.500 0.000
2 Sn 0.095 0.345 0.191
3 Sn 0.500 0.000 0.000
4 Sn 0.694 0.672 0.388
5 Sn 0.306 0.783 0.612
6 Sn 0.306 0.328 0.612
7 Sn 0.905 0.655 0.809
8 Sn 0.694 0.217 0.388
9 La 0.099 0.849 0.198
10 La 0.901 0.151 0.802


(4)
The following is a DFT calculation (PBE-GGA) of crystalline Tl3VP at its relaxed geometry.

Output
Symmetry ... Pm-3m
Energy relative to the elements ... 87.89 kJ per mole of atoms
Relative energy among the computed polymorphs ... 0 meV/atom

Cell lengths 5.368, 5.368, 5.368 Å; angles 90.00, 90.00, 90.00 degrees
Last column: magnetic moment on the atom in μB.
Element x y z (fractional)
1 Tl 0.000 0.500 0.000  0.07
2 Tl 0.500 0.000 0.000  0.07
3 Tl 0.000 0.000 0.500  0.07
4 V 0.000 0.000 0.000  2.69
5 P 0.500 0.500 0.500  0.43


(5)
The following is a DFT calculation (PBE-GGA) of crystalline DyY3Te2 at its relaxed geometry.

Output
Symmetry ... Cmmm
Formation energy from raw total energies ... -700 meV per atom

Cell lengths 5.297, 3.948, 8.393 Å; angles 90.00, 108.40, 90.00 degrees
Element x y z (fractional)
1 Te 0.156 0.500 0.312
2 Te 0.844 0.500 0.688
3 Y 0.500 0.500 0.000
4 Y 0.322 0.000 0.644
5 Y 0.678 0.000 0.356
6 Dy 0.000 0.000 0.000


(6)
The following is a DFT calculation (PBE-GGA) of crystalline Ho4C2NO at its relaxed geometry.

Output
Symmetry ... I-4m2
Formation energy from raw total energies ... -1323 meV per atom

Cell lengths 4.933, 4.933, 6.073 Å; angles 113.96, 113.96, 90.00 degrees
Element x y z (fractional)
1 O 0.500 0.500 0.000
2 Ho 0.995 0.495 0.990
3 Ho 0.749 0.749 0.498
4 Ho 0.251 0.251 0.502
5 Ho 0.505 0.005 0.010
6 C 0.000 0.000 0.000
7 C 0.250 0.750 0.500
8 N 0.750 0.250 0.500


(7)
The following is a DFT calculation (PBE-GGA) of crystalline ZrRhN3 at its relaxed geometry.

Output
Symmetry ... Pm-3m
Formation energy from raw total energies ... 1276 meV per atom

Cell lengths 4.159, 4.159, 4.159 Å; angles 90.00, 90.00, 90.00 degrees
Element x y z (fractional)
1 Rh 0.500 0.500 0.500
2 N 0.000 0.000 0.500
3 N 0.500 0.000 0.000
4 N 0.000 0.500 0.000
5 Zr 0.000 0.000 0.000


(8)
The following is a DFT calculation (PBE-GGA) of crystalline LiBAs3 at its relaxed geometry.

Output
Symmetry ... Pm-3m
Energy relative to the elements ... 124.28 kJ per mole of atoms
Relative energy among the computed polymorphs ... 738 meV/atom

Cell lengths 4.516, 4.516, 4.516 Å; angles 90.00, 90.00, 90.00 degrees
Element x y z (fractional)
1 As 0.500 0.000 0.000
2 As 0.000 0.500 0.000
3 As 0.000 0.000 0.500
4 B 0.500 0.500 0.500
5 Li 0.000 0.000 0.000